YCd2Pb | GGA-PBEsol | optimized geometry

Computed properties:
* volume: 192.9 Å³/cell
* spin magnetization: 0.00 μB per cell
* crystal system: tetragonal
* energy of formation from the pure elements: -0.311 eV per atom

a b c (Å): 4.4581 4.4581 9.7073
angles (deg): 90.00 90.00 90.00
Space group I4/mmm (No. 139)
Inequivalent atoms, fractional coordinates:
Y1 0.0000 0.0000 0.0000 [2 per cell]
Cd1 0.0000 0.5000 0.2500 [4 per cell]
Pb1 0.0000 0.0000 0.5000 [2 per cell]